No. 1
Li7Co2O6 after structural relaxation. Source: Alexandria via LeMat-Bulk, functional PBE with a Hubbard U.

Calculated values
As for the total magnetization: 7.00 μB/f.u. The calculated total energy is -5.131 eV per atom. As for the energy relative to the lowest polymorph listed for this composition: 3 meV/atom.

Cell: 6.652 6.652 9.999 Å, 103.98 103.98 45.25°
Fractional positions:
Li 0.044 0.956 0.750
Li 0.177 0.272 0.796
Li 0.221 0.444 0.595
Li 0.272 0.177 0.296
Li 0.324 0.550 0.331
Li 0.444 0.221 0.095
Li 0.450 0.676 0.169
Li 0.550 0.324 0.831
Li 0.556 0.779 0.905
Li 0.676 0.450 0.669
Li 0.728 0.823 0.704
Li 0.779 0.556 0.405
Li 0.823 0.728 0.204
Li 0.956 0.044 0.250
Co 0.012 0.226 0.038
Co 0.226 0.012 0.538
Co 0.774 0.988 0.462
Co 0.988 0.774 0.962
O 0.052 0.606 0.414
O 0.141 0.622 0.796
O 0.150 0.653 0.133
O 0.347 0.850 0.367
O 0.378 0.859 0.704
O 0.394 0.948 0.086
O 0.606 0.052 0.914
O 0.622 0.141 0.296
O 0.653 0.150 0.633
O 0.850 0.347 0.867
O 0.859 0.378 0.204
O 0.948 0.394 0.586

No. 2
Li2CoO3 after structural relaxation. Source: Alexandria via LeMat-Bulk, functional PBE with a Hubbard U.

Calculated values
As for the total magnetization: 1.00 μB/f.u. The calculated total energy is -5.390 eV per atom.

Cell: 4.904 4.904 5.006 Å, 99.70 99.70 119.79°
Fractional positions:
Li 0.000 0.000 0.000
Li 0.160 0.840 0.500
Li 0.500 0.500 0.500
Li 0.840 0.160 0.500
Co 0.332 0.668 0.000
Co 0.668 0.332 0.000
O 0.074 0.433 0.221
O 0.284 0.284 0.775
O 0.433 0.074 0.221
O 0.567 0.926 0.779
O 0.716 0.716 0.225
O 0.926 0.567 0.779

No. 3
Li3Co2O5 after structural relaxation. Source: Alexandria via LeMat-Bulk, functional PBE with a Hubbard U.

Calculated values
As for the total magnetization: 3.00 μB/f.u. The calculated total energy is -5.487 eV per atom. As for the energy relative to the lowest polymorph listed for this composition: 44 meV/atom.

Cell: 2.896 6.368 9.624 Å, 79.75 88.08 77.30°
Fractional positions:
Li 0.000 0.000 0.000
Li 0.102 0.799 0.304
Li 0.319 0.391 0.904
Li 0.500 0.000 0.500
Li 0.681 0.609 0.096
Li 0.898 0.201 0.696
Co 0.188 0.602 0.599
Co 0.415 0.187 0.196
Co 0.585 0.813 0.804
Co 0.812 0.398 0.401
O 0.019 0.882 0.655
O 0.169 0.705 0.936
O 0.292 0.470 0.266
O 0.333 0.323 0.537
O 0.453 0.081 0.840
O 0.547 0.919 0.160
O 0.667 0.677 0.463
O 0.708 0.530 0.734
O 0.831 0.295 0.064
O 0.981 0.118 0.345

No. 4
LiCoO2 after structural relaxation. Source: Alexandria via LeMat-Bulk, functional PBE with a Hubbard U.

Calculated values
As for the total magnetization: 0.00 μB/f.u. The calculated total energy is -5.682 eV per atom.

Cell: 5.704 5.704 5.704 Å, 60.00 60.00 60.00°
Fractional positions:
Li 0.000 0.000 0.000
Li 0.000 0.000 0.500
Li 0.000 0.500 0.000
Li 0.500 0.000 0.000
Co 0.000 0.500 0.500
Co 0.500 0.000 0.500
Co 0.500 0.500 0.000
Co 0.500 0.500 0.500
O 0.260 0.260 0.260
O 0.260 0.260 0.720
O 0.260 0.720 0.260
O 0.280 0.740 0.740
O 0.720 0.260 0.260
O 0.740 0.280 0.740
O 0.740 0.740 0.280
O 0.740 0.740 0.740

No. 5
Li3Co2O5 after structural relaxation. Source: Alexandria via LeMat-Bulk, functional PBE with a Hubbard U.

Calculated values
As for the total magnetization: 5.00 μB/f.u. The calculated total energy is -5.450 eV per atom. As for the energy relative to the lowest polymorph listed for this composition: 81 meV/atom.

Cell: 5.118 5.118 12.384 Å, 100.61 100.61 33.47°
Fractional positions:
Li 0.000 0.000 0.000
Li 0.100 0.100 0.704
Li 0.307 0.307 0.098
Li 0.500 0.500 0.500
Li 0.693 0.693 0.902
Li 0.900 0.900 0.296
Co 0.202 0.202 0.400
Co 0.400 0.400 0.809
Co 0.600 0.600 0.191
Co 0.798 0.798 0.600
O 0.035 0.035 0.845
O 0.159 0.159 0.545
O 0.242 0.242 0.258
O 0.346 0.346 0.935
O 0.432 0.432 0.654
O 0.568 0.568 0.346
O 0.654 0.654 0.065
O 0.758 0.758 0.742
O 0.841 0.841 0.455
O 0.965 0.965 0.155

No. 6
Li4Co15O28 after structural relaxation. Source: Alexandria via LeMat-Bulk, functional PBE with a Hubbard U.

Calculated values
As for the total magnetization: 10.83 μB/f.u. The calculated total energy is -5.747 eV per atom.

Cell: 7.724 8.114 8.649 Å, 105.35 106.93 102.06°
Fractional positions:
Li 0.045 0.217 0.262
Li 0.342 0.059 0.406
Li 0.658 0.941 0.594
Li 0.955 0.783 0.738
Co 0.000 0.000 0.500
Co 0.066 0.710 0.288
Co 0.142 0.430 0.071
Co 0.212 0.142 0.858
Co 0.284 0.857 0.644
Co 0.359 0.573 0.428
Co 0.429 0.286 0.215
Co 0.500 0.000 0.000
Co 0.500 0.500 0.000
Co 0.571 0.714 0.785
Co 0.641 0.427 0.572
Co 0.716 0.143 0.356
Co 0.788 0.858 0.142
Co 0.858 0.570 0.929
Co 0.934 0.290 0.712
O 0.026 0.774 0.502
O 0.050 0.946 0.295
O 0.102 0.483 0.283
O 0.112 0.656 0.080
O 0.167 0.204 0.069
O 0.200 0.377 0.868
O 0.241 0.914 0.852
O 0.259 0.083 0.646
O 0.313 0.630 0.632
O 0.333 0.805 0.437
O 0.380 0.341 0.423
O 0.406 0.517 0.213
O 0.455 0.058 0.210
O 0.473 0.235 0.005
O 0.527 0.765 0.995
O 0.545 0.942 0.790
O 0.594 0.483 0.787
O 0.620 0.659 0.577
O 0.667 0.195 0.563
O 0.687 0.370 0.368
O 0.741 0.917 0.354
O 0.759 0.086 0.148
O 0.800 0.623 0.132
O 0.833 0.796 0.931
O 0.888 0.344 0.920
O 0.898 0.517 0.717
O 0.950 0.054 0.705
O 0.974 0.226 0.498

No. 7
Li7Co2O6 after structural relaxation. Source: Alexandria via LeMat-Bulk, functional PBE with a Hubbard U.

Calculated values
As for the total magnetization: 5.00 μB/f.u. The calculated total energy is -4.940 eV per atom. As for the energy relative to the lowest polymorph listed for this composition: 195 meV/atom.

Cell: 3.326 3.339 13.134 Å, 88.14 85.72 88.21°
Fractional positions:
Li 0.000 0.000 0.000
Li 0.033 0.378 0.529
Li 0.086 0.397 0.351
Li 0.165 0.414 0.173
Li 0.535 0.875 0.530
Li 0.587 0.899 0.353
Li 0.639 0.894 0.176
Co 0.056 0.945 0.729
Co 0.531 0.547 0.856
O 0.013 0.868 0.598
O 0.117 0.907 0.257
O 0.152 0.075 0.859
O 0.532 0.631 0.007
O 0.563 0.388 0.434
O 0.696 0.397 0.098

No. 8
Li9Co7O16 after structural relaxation. Source: Alexandria via LeMat-Bulk, functional PBE with a Hubbard U.

Calculated values
As for the total magnetization: 2.06 μB/f.u. The calculated total energy is -5.584 eV per atom. As for the energy relative to the lowest polymorph listed for this composition: 0 meV/atom.

Cell: 4.911 5.681 9.583 Å, 90.00 99.62 90.00°
Fractional positions:
Li 0.000 0.000 0.000
Li 0.243 0.000 0.751
Li 0.247 0.500 0.748
Li 0.250 0.247 0.249
Li 0.250 0.753 0.249
Li 0.750 0.247 0.751
Li 0.750 0.753 0.751
Li 0.753 0.500 0.252
Li 0.757 0.000 0.249
Co 0.000 0.250 0.500
Co 0.000 0.500 0.000
Co 0.000 0.750 0.500
Co 0.500 0.000 0.500
Co 0.500 0.246 0.000
Co 0.500 0.500 0.500
Co 0.500 0.754 0.000
O 0.131 0.000 0.390
O 0.131 0.500 0.391
O 0.139 0.268 0.890
O 0.139 0.732 0.890
O 0.367 0.500 0.109
O 0.369 0.250 0.609
O 0.369 0.750 0.609
O 0.398 0.000 0.112
O 0.602 0.000 0.888
O 0.631 0.250 0.391
O 0.631 0.750 0.391
O 0.633 0.500 0.891
O 0.861 0.268 0.110
O 0.861 0.732 0.110
O 0.869 0.000 0.610
O 0.869 0.500 0.609